12
Lattice="6.9426 0.0000 0.0000 -3.4713 6.0125 0.0000 0.0000 0.0000 8.6880" Properties=species:S:1:pos:R:3 comment="K3AgP2S6 (PBE, relaxed)" formation_energy_uncorrected_ev_per_atom=-0.611 vol_a3_per_cell=363 pbc="T T T"
K 0.0000 0.0000 0.0000
K 0.0000 4.0083 5.6281
K 3.4713 2.0042 3.0599
Ag 0.0000 0.0000 4.3440
P 0.0000 4.0083 2.0656
P 3.4713 2.0042 6.6224
S 0.0000 2.0189 2.5348
S -1.7229 5.0030 2.5348
S 1.7484 1.0094 6.1532
S 1.7229 5.0030 2.5348
S 5.1942 1.0094 6.1532
S 3.4713 3.9936 6.1532



10
Lattice="4.2905 0.0000 0.0000 0.0000 4.2905 0.0000 0.0000 0.0000 10.8164" Properties=species:S:1:pos:R:3 comment="Ac2PuSi3Rh4 (PBE, relaxed)" formation_energy_uncorrected_ev_per_atom=-0.862 vol_a3_per_cell=199 pbc="T T T"
Ac 0.0000 2.1453 2.5773
Ac 2.1453 0.0000 8.2391
Pu 0.0000 0.0000 5.4082
Si 0.0000 2.1453 9.5711
Si 2.1453 0.0000 1.2453
Si 2.1453 2.1453 5.4082
Rh 0.0000 0.0000 0.0000
Rh 0.0000 2.1453 7.0786
Rh 2.1453 0.0000 3.7378
Rh 2.1453 2.1453 0.0000



5
Lattice="5.2773 0.0000 0.0000 0.0000 5.2773 0.0000 0.0000 0.0000 5.2773" Properties=species:S:1:pos:R:3 comment="Pr3AlCo (PBE, relaxed)" ef_mev_per_atom=11 vol_a3_per_cell=147 pbc="T T T"
Pr 0.0000 0.0000 2.6387
Pr 0.0000 2.6387 0.0000
Pr 2.6387 0.0000 0.0000
Al 2.6387 2.6387 2.6387
Co 0.0000 0.0000 0.0000



5
Lattice="5.0563 0.0000 0.0000 0.0000 5.0563 0.0000 0.0000 0.0000 5.0187" Properties=species:S:1:pos:R:3 comment="SnSbP2S (PBE, relaxed)" formation_energy_uncorrected_ev_per_atom=0.733 vol_a3_per_cell=128 polymorph_energy_ev_per_fu=0.00 pbc="T T T"
Sn 0.0000 0.0000 0.0000
Sb 2.5282 2.5282 2.5093
P 0.0000 2.5282 2.5093
P 2.5282 0.0000 2.5093
S 2.5282 2.5282 0.0000



18
Lattice="4.1954 2.4222 5.6962 -4.1954 2.4222 5.6962 0.0000 -4.8445 5.6962" Properties=species:S:1:pos:R:3 comment="Li3Pr2Cu12Si (PBE, relaxed)" formation_energy_uncorrected_ev_per_atom=0.215 vol_a3_per_cell=347 pbc="T T T"
Li -2.0977 -1.2111 5.6962
Li -2.0977 1.2111 11.3924
Li 0.0000 2.4222 5.6962
Pr 0.0000 0.0000 1.6804
Pr 0.0000 0.0000 15.4082
Cu 0.0000 -1.7611 3.9829
Cu -1.5252 0.8806 3.9829
Cu -2.0084 -1.1596 8.2944
Cu 0.0000 -2.3191 8.7941
Cu -2.0084 1.1596 8.7941
Cu 1.5252 0.8806 3.9829
Cu -1.5252 -0.8806 13.1057
Cu 2.0084 -1.1596 8.2944
Cu 0.0000 2.3191 8.2944
Cu 2.0084 1.1596 8.7941
Cu 1.5252 -0.8806 13.1056
Cu 0.0000 1.7611 13.1056
Si 0.0000 0.0000 8.5443



8
Lattice="4.3080 0.0000 0.0000 0.0000 6.0914 0.0000 0.0000 0.0000 8.6175" Properties=species:S:1:pos:R:3 comment="LaPmAs2 (PBE, relaxed)" ef_mev_per_atom=-1547 vol_a3_per_cell=226 polymorph_energy_ev_per_fu=0.01 pbc="T T T"
La 1.0770 1.5229 1.0959
La 3.2310 4.5686 7.5216
Pm 1.0770 1.5229 5.3716
Pm 3.2310 4.5686 3.2460
As 1.0770 4.5686 1.1177
As 1.0770 4.5686 5.3457
As 3.2310 1.5229 3.2718
As 3.2310 1.5229 7.4999



12
Lattice="4.3808 2.5292 4.7403 -4.3808 2.5292 4.7403 0.0000 -5.0585 4.7403" Properties=species:S:1:pos:R:3 comment="Pr3AlCu2 (PBE, relaxed)" ef_mev_per_atom=-114 vol_a3_per_cell=315 pbc="T T T"
Pr -2.9538 -0.0576 5.9253
Pr -1.4270 -2.5869 8.2954
Pr 1.5268 -2.5292 5.9253
Pr -1.5268 2.5292 8.2954
Pr 1.4270 2.5869 5.9253
Pr 2.9538 0.0576 8.2954
Al 0.0000 0.0000 0.0000
Al 0.0000 0.0000 7.1104
Cu 0.0000 0.0000 2.3678
Cu 0.0000 0.0000 4.7425
Cu 0.0000 0.0000 9.4782
Cu 0.0000 0.0000 11.8529



20
Lattice="0.0000 5.9423 5.9423 5.9423 0.0000 5.9423 5.9423 5.9423 0.0000" Properties=species:S:1:pos:R:3 comment="Sc3SnN (PBE, relaxed)" formation_energy_uncorrected_ev_per_atom=-0.782 vol_a3_per_cell=420 pbc="T T T"
Sc 4.4568 4.4568 0.7392
Sc 4.4568 0.7392 4.4568
Sc 8.1743 4.4568 4.4568
Sc 7.4279 7.4279 3.7104
Sc 7.4279 3.7104 7.4279
Sc 11.1455 7.4279 7.4279
Sc 0.7392 4.4568 4.4568
Sc 4.4568 8.1743 4.4568
Sc 4.4568 4.4568 8.1743
Sc 3.7104 7.4279 7.4279
Sc 7.4279 11.1455 7.4279
Sc 7.4279 7.4279 11.1455
Sn 5.9423 2.9712 2.9712
Sn 2.9712 5.9423 2.9712
Sn 2.9712 2.9712 5.9423
Sn 5.9423 5.9423 5.9423
N 0.0000 0.0000 0.0000
N 2.9712 2.9712 0.0000
N 2.9712 0.0000 2.9712
N 0.0000 2.9712 2.9712



4
Lattice="3.7715 0.0000 0.0000 0.0000 6.0181 0.0000 0.0000 0.0000 6.4346" Properties=species:S:1:pos:R:3 comment="AcSm3 (PBE, relaxed)" ef_mev_per_atom=54 vol_a3_per_cell=146 pbc="T T T"
Ac 0.0000 0.0000 0.0000
Sm 0.0000 3.0090 2.1853
Sm 1.8858 0.0000 3.2220
Sm 1.8858 3.0090 5.3599



4
Lattice="0.0000 3.8206 3.8206 3.8206 0.0000 3.8206 3.8206 3.8206 0.0000" Properties=species:S:1:pos:R:3 comment="YCd2Br (PBE, relaxed)" formation_energy_uncorrected_ev_per_atom=-0.011 vol_a3_per_cell=112 polymorph_energy_ev_per_fu=2.07 pbc="T T T"
Y 0.0000 0.0000 0.0000
Cd 1.9103 1.9103 1.9103
Cd 5.7309 5.7309 5.7309
Br 3.8206 3.8206 3.8206



5
Lattice="4.8830 0.0000 0.0000 0.0000 4.8830 0.0000 0.0000 0.0000 4.8830" Properties=species:S:1:pos:R:3 comment="Y3BIr (PBE, relaxed)" ef_mev_per_atom=12 vol_a3_per_cell=116 polymorph_energy_ev_per_fu=0.00 pbc="T T T"
Y 0.0000 0.0000 2.4415
Y 0.0000 2.4415 0.0000
Y 2.4415 0.0000 0.0000
B 0.0000 0.0000 0.0000
Ir 2.4415 2.4415 2.4415



4
Lattice="0.0000 3.2637 3.2637 3.2637 0.0000 3.2637 3.2637 3.2637 0.0000" Properties=species:S:1:pos:R:3 comment="Mg2NiHg (PBE, relaxed)" ef_mev_per_atom=-124 vol_a3_per_cell=70 polymorph_energy_ev_per_fu=0.22 pbc="T T T"
Mg 1.6318 1.6318 1.6318
Mg 4.8955 4.8955 4.8955
Ni 0.0000 0.0000 0.0000
Hg 3.2637 3.2637 3.2637



4
Lattice="2.3379 1.3498 4.1851 -2.3379 1.3498 4.1851 0.0000 -2.6996 4.1851" Properties=species:S:1:pos:R:3 comment="PaInIr2 (PBE, relaxed)" ef_mev_per_atom=-506 vol_a3_per_cell=79 pbc="T T T"
Pa 0.0000 0.0000 0.0000
In 0.0000 0.0000 6.2777
Ir 0.0000 0.0000 2.8004
Ir 0.0000 0.0000 9.7549



8
Lattice="4.1027 0.0000 0.0000 0.2829 6.9354 0.0000 1.5009 0.2369 9.1671" Properties=species:S:1:pos:R:3 comment="CaGeBr2 (PBE, relaxed)" formation_energy_uncorrected_ev_per_atom=-1.185 vol_a3_per_cell=261 polymorph_energy_ev_per_fu=0.23 pbc="T T T"
Ca 0.0000 0.0000 0.0000
Ca 2.0412 3.5134 3.5757
Ge 2.0136 4.9339 6.9724
Ge 4.0919 3.7643 5.9073
Br 1.2131 6.0842 4.7764
Br 2.3378 5.2855 1.1986
Br 3.5490 1.5879 7.6755
Br 4.1107 1.9306 2.2289



4
Lattice="0.0000 3.7528 3.7528 3.7528 0.0000 3.7528 3.7528 3.7528 0.0000" Properties=species:S:1:pos:R:3 comment="SrTbAlGa (PBE, relaxed)" ef_mev_per_atom=-272 vol_a3_per_cell=106 pbc="T T T"
Sr 0.0000 0.0000 0.0000
Tb 3.7528 3.7528 3.7528
Al 5.6293 5.6293 5.6293
Ga 1.8764 1.8764 1.8764



5
Lattice="4.9928 0.0000 0.0000 0.0000 4.9928 0.0000 0.0000 0.0000 4.7590" Properties=species:S:1:pos:R:3 comment="BaNaZrIr2 (PBE, relaxed)" ef_mev_per_atom=1348 vol_a3_per_cell=119 pbc="T T T"
Ba 0.0000 0.0000 0.0000
Na 2.4964 2.4964 2.3795
Zr 2.4964 2.4964 0.0000
Ir 0.0000 2.4964 2.3795
Ir 2.4964 0.0000 2.3795



5
Lattice="5.1135 0.0000 0.0000 0.0000 5.1135 0.0000 0.0000 0.0000 4.9977" Properties=species:S:1:pos:R:3 comment="BaHgO2F (PBE, relaxed)" formation_energy_uncorrected_ev_per_atom=-0.835 vol_a3_per_cell=131 pbc="T T T"
Ba 0.0000 0.0000 0.0000
Hg 2.5567 2.5567 2.4988
O 0.0000 2.5567 0.0000
O 2.5567 0.0000 0.0000
F 0.0000 0.0000 2.4988



4
Lattice="2.2365 1.2912 8.7990 -2.2365 1.2912 8.7990 0.0000 -2.5825 8.7990" Properties=species:S:1:pos:R:3 comment="KHoBi2 (PBE, relaxed)" ef_mev_per_atom=-358 vol_a3_per_cell=152 polymorph_energy_ev_per_fu=0.62 pbc="T T T"
K 0.0000 0.0000 0.0000
Ho 0.0000 0.0000 21.9355
Bi 0.0000 0.0000 6.1497
Bi 0.0000 0.0000 11.3608



5
Lattice="4.5350 0.0000 0.0000 0.0000 4.5350 0.0000 0.0000 0.0000 5.1430" Properties=species:S:1:pos:R:3 comment="Cr2TcAgAu (PBE, relaxed)" ef_mev_per_atom=1146 vol_a3_per_cell=106 pbc="T T T"
Cr 0.0000 2.2675 0.0000
Cr 2.2675 0.0000 0.0000
Tc 0.0000 0.0000 0.0000
Ag 2.2675 2.2675 2.5715
Au 0.0000 0.0000 2.5715



4
Lattice="2.7414 0.0000 0.0000 0.0000 3.9525 0.0000 -1.3572 0.0000 4.9235" Properties=species:S:1:pos:R:3 comment="BeTc2Os (PBE, relaxed)" ef_mev_per_atom=58 vol_a3_per_cell=53 pbc="T T T"
Be 0.0000 0.0000 0.0000
Tc 0.0114 1.9762 4.0293
Tc 1.3853 0.0000 2.4866
Os 0.0088 1.9762 1.3709



5
Lattice="5.4895 0.0000 0.0000 0.0000 5.4895 0.0000 0.0000 0.0000 5.4895" Properties=species:S:1:pos:R:3 comment="TlBi3Pd (PBE, relaxed)" ef_mev_per_atom=199 vol_a3_per_cell=165 polymorph_energy_ev_per_fu=1.52 pbc="T T T"
Tl 0.0000 0.0000 0.0000
Bi 0.0000 2.7448 2.7448
Bi 2.7448 0.0000 2.7448
Bi 2.7448 2.7448 0.0000
Pd 2.7448 2.7448 2.7448



9
Lattice="8.5906 0.0000 0.0000 -4.2953 7.4397 0.0000 0.0000 0.0000 4.4214" Properties=species:S:1:pos:R:3 comment="Pr6Tl2Si (PBE, relaxed)" formation_energy_uncorrected_ev_per_atom=-0.345 vol_a3_per_cell=283 pbc="T T T"
Pr -1.6934 2.9331 0.0000
Pr -3.2089 5.5579 2.2107
Pr 1.0864 1.8818 2.2107
Pr 3.3868 0.0000 0.0000
Pr 2.6019 4.5066 0.0000
Pr 6.4177 0.0000 2.2107
Tl 0.0000 4.9598 2.2107
Tl 4.2953 2.4799 2.2107
Si 0.0000 0.0000 0.0000



18
Lattice="6.4342 -6.5664 0.0000 6.4342 6.5664 0.0000 -2.7555 0.0000 5.7228" Properties=species:S:1:pos:R:3 comment="NbTe2S6 (PBE, relaxed)" formation_energy_uncorrected_ev_per_atom=-0.193 vol_a3_per_cell=484 pbc="T T T"
Nb 4.3676 5.9715 4.2921
Nb 5.7453 -5.9715 1.4307
Te 2.9894 1.7969 3.0745
Te 4.3672 -1.7969 0.2131
Te 5.7457 1.7969 5.5096
Te 7.1235 -1.7969 2.6483
S 3.2661 4.2306 2.5451
S 1.3885 0.9671 0.2215
S 0.0107 -0.9671 3.0829
S 3.0206 1.7646 5.4347
S 8.2245 4.2306 0.3162
S 5.7145 1.7646 3.1495
S 4.3984 -1.7646 2.5733
S 1.8884 -4.2306 5.4065
S 7.0923 -1.7646 0.2881
S 10.1022 0.9671 2.6398
S 8.7244 -0.9671 5.5012
S 6.8468 -4.2306 3.1776



3
Lattice="0.0000 3.7101 3.7101 3.7101 0.0000 3.7101 3.7101 3.7101 0.0000" Properties=species:S:1:pos:R:3 comment="NaSmPb (PBE, relaxed)" ef_mev_per_atom=-221 vol_a3_per_cell=102 pbc="T T T"
Na 0.0000 0.0000 0.0000
Sm 3.7101 3.7101 3.7101
Pb 1.8551 1.8551 1.8551



5
Lattice="1.7330 1.0006 13.9429 -1.7330 1.0006 13.9429 0.0000 -2.0011 13.9429" Properties=species:S:1:pos:R:3 comment="Y3Sc2 (PBE, relaxed)" ef_mev_per_atom=66 vol_a3_per_cell=145 polymorph_energy_ev_per_fu=0.21 pbc="T T T"
Y 0.0000 0.0000 0.0000
Y 0.0000 0.0000 8.4702
Y 0.0000 0.0000 33.3586
Sc 0.0000 0.0000 16.6909
Sc 0.0000 0.0000 25.1379



Result set for electronic total energy: -4.088; -7.685; -5.026; -3.881; -3.667; -6.291; -4.493; -7.047; -4.513; -2.503; -6.974; -2.442; -7.995; -3.676; -3.542; -4.555; -3.638; -3.717; -6.002; -8.864; -3.642; -4.660; -4.762; -3.469; -6.345 eV/atom, one per record in the order listed.